Record 1
! ErInAsO (PBE, optimized geometry); values from VASP
! ΔE to the lowest computed polymorph: 798 meV per atom
! total energy: -4.916 eV per atom
&SYSTEM
  ibrav = 0, nat = 8, ntyp = 4
/
ATOMIC_SPECIES
O 16.00 O.upf
Er 167.26 Er.upf
In 114.82 In.upf
As 74.92 As.upf
ATOMIC_POSITIONS crystal
O 0.7500 0.2500 0.0000
O 0.2500 0.7500 0.0000
Er 0.2500 0.7500 0.5000
Er 0.7500 0.2500 0.5000
In 0.2500 0.2500 0.0939
In 0.7500 0.7500 0.9061
As 0.2500 0.2500 0.7023
As 0.7500 0.7500 0.2977
CELL_PARAMETERS angstrom
3.1776 -3.1776 0.0000
3.1776 3.1776 0.0000
0.0000 0.0000 8.0699


Record 2
! TmC2 (PBE, optimized geometry); values from VASP
! ΔE to the lowest computed polymorph: 0 meV per atom
! total energy: -7.838 eV per atom
&SYSTEM
  ibrav = 0, nat = 3, ntyp = 2
/
ATOMIC_SPECIES
C 12.01 C.upf
Tm 168.93 Tm.upf
ATOMIC_POSITIONS crystal
C 0.6073 0.6073 0.2147
C 0.3927 0.3927 0.7853
Tm 0.0000 0.0000 0.0000
CELL_PARAMETERS angstrom
1.0342 -2.9353 -1.8091
2.4227 -0.7253 2.5618
-3.8031 0.1783 1.1180


Record 3
! SiHgMo (PBE, optimized geometry); values from VASP
! ΔE to the lowest computed polymorph: 206 meV per atom
! total energy: -4.778 eV per atom
&SYSTEM
  ibrav = 0, nat = 3, ntyp = 3
/
ATOMIC_SPECIES
Mo 95.94 Mo.upf
Si 28.09 Si.upf
Hg 200.59 Hg.upf
ATOMIC_POSITIONS crystal
Mo 0.0000 0.0000 0.0000
Si 0.7500 0.7500 0.7500
Hg 0.2500 0.2500 0.2500
CELL_PARAMETERS angstrom
0.0000 3.1214 3.1214
3.1214 0.0000 3.1214
3.1214 3.1214 0.0000


Record 4
! NbWAu (PBE, optimized geometry); values from VASP
! ΔE to the lowest computed polymorph: 0 meV per atom
! total energy: -7.810 eV per atom
! DFT formation energy: 279 kJ/mol of formula units
&SYSTEM
  ibrav = 0, nat = 3, ntyp = 3
/
ATOMIC_SPECIES
Nb 92.91 Nb.upf
W 183.84 W.upf
Au 196.97 Au.upf
ATOMIC_POSITIONS crystal
Nb 0.7500 0.7500 0.7500
W 0.0000 0.0000 0.0000
Au 0.2500 0.2500 0.2500
CELL_PARAMETERS angstrom
0.0000 3.1268 3.1268
3.1268 0.0000 3.1268
3.1268 3.1268 0.0000